Entry 1:
The following is a DFT calculation (PBE) of crystalline ScRu2Pt at its relaxed geometry.

Values from the calculation:
- formation enthalpy at 0 K (meV/atom) = -384
- crystal system = tetragonal
- N(E_F) (states/eV/cell) = 3.65
- space group = No. 119

Unit cell a=4.8282 b=4.8282 c=4.8282 alpha=131.38 beta=131.38 gamma=71.20
With the nearest neighbours (Å) after each atom.
Element x y z (fractional)
Sc 0.0000 0.0000 0.0000  8 Ru 2.79-2.81, 4 Pt 2.79
Ru 0.5000 0.5000 0.0000  4 Ru 2.79, 4 Pt 2.79, 4 Sc 2.81
Ru 0.7500 0.2500 0.5000  4 Ru 2.79, 4 Sc 2.79, 4 Pt 2.81
Pt 0.2500 0.7500 0.5000  8 Ru 2.79-2.81, 4 Sc 2.79

---

Entry 2:
The following is a DFT calculation (PBE) of crystalline KCdTeI2 at its relaxed geometry.

Values from the calculation:
- raw formation energy (meV/atom) = -530
- crystal system = tetragonal
- N(E_F) (states/eV/cell) = 4.72
- space group = No. 123

Unit cell a=6.1300 b=6.1300 c=5.6711 alpha=90.00 beta=90.00 gamma=90.00
With the nearest neighbours (Å) after each atom.
Element x y z (fractional)
K 0.0000 0.0000 0.0000  8 I 4.18, 4 Te 4.33
Cd 0.5000 0.5000 0.5000  2 Te 2.84, 4 I 3.06
Te 0.5000 0.5000 0.0000  2 Cd 2.84
I 0.0000 0.5000 0.5000  2 Cd 3.06
I 0.5000 0.0000 0.5000  2 Cd 3.06

---

Entry 3:
The following is a DFT calculation (PBE) of crystalline Y3SiHg at its relaxed geometry.

Values from the calculation:
- raw formation energy (meV/atom) = -171
- crystal system = cubic
- N(E_F) (states/eV/cell) = 8.29
- space group = No. 221

Unit cell a=5.3767 b=5.3767 c=5.3767 alpha=90.00 beta=90.00 gamma=90.00
With the nearest neighbours (Å) after each atom.
Element x y z (fractional)
Y 0.0000 0.0000 0.5000  2 Si 2.69
Y 0.0000 0.5000 0.0000  2 Si 2.69
Y 0.5000 0.0000 0.0000  2 Si 2.69
Si 0.0000 0.0000 0.0000  6 Y 2.69
Hg 0.5000 0.5000 0.5000  12 Y 3.80

---

Entry 4:
The following is a DFT calculation (PBE) of crystalline Ce4FeAu at its relaxed geometry.

Values from the calculation:
- formation enthalpy at 0 K (meV/atom) = -124
- crystal system = monoclinic
- N(E_F) (states/eV/cell) = 30.26
- space group = No. 15

Unit cell a=8.1466 b=8.1466 c=6.2536 alpha=105.42 beta=105.42 gamma=118.97
With the nearest neighbours (Å) after each atom.
Element x y z (fractional)
Ce 0.0483 0.6013 0.8457  1 Fe 2.70, 1 Ce 2.88, 1 Au 2.99
Ce 0.1629 0.2862 0.6879  1 Fe 2.39
Ce 0.2862 0.1629 0.1879  1 Fe 2.39
Ce 0.3987 0.9517 0.6543  1 Fe 2.70, 1 Ce 2.88, 1 Au 2.99
Ce 0.6013 0.0483 0.3457  1 Fe 2.70, 1 Ce 2.88, 1 Au 2.99
Ce 0.7138 0.8371 0.8121  1 Fe 2.39
Ce 0.8371 0.7138 0.3121  1 Fe 2.39
Ce 0.9517 0.3987 0.1543  1 Fe 2.70, 1 Ce 2.88, 1 Au 2.99
Fe 0.0829 0.9171 0.7500  2 Ce 2.39
Fe 0.9171 0.0829 0.2500  2 Ce 2.39
Au 0.4012 0.5988 0.2500  8 Ce 2.99-3.30
Au 0.5988 0.4012 0.7500  8 Ce 2.99-3.30

---

Entry 5:
The following is a DFT calculation (PBE) of crystalline TlAgTe at its relaxed geometry.

Values from the calculation:
- raw formation energy (meV/atom) = 16
- crystal system = tetragonal
- N(E_F) (states/eV/cell) = 1.24
- space group = No. 107

Unit cell a=6.4080 b=6.4080 c=6.4080 alpha=143.26 beta=143.26 gamma=52.94
With the nearest neighbours (Å) after each atom.
Element x y z (fractional)
Tl 0.0000 0.0000 0.0000  1 Ag 3.04, 1 Te 3.37
Ag 0.7348 0.7348 0.0000  4 Te 2.94, 1 Tl 3.04
Te 0.2939 0.2939 0.0000  4 Ag 2.94

---

Entry 6:
The following is a DFT calculation (PBE) of crystalline K2HfAg2S4 at its relaxed geometry.

Values from the calculation:
- raw formation energy (meV/atom) = -977
- crystal system = monoclinic
- space group = No. 12

Unit cell a=7.7122 b=7.7122 c=7.6856 alpha=110.80 beta=110.80 gamma=29.58
With the nearest neighbours (Å) after each atom.
Element x y z (fractional)
K 0.1382 0.1382 0.0665  5 S 3.19-3.33, 2 Ag 3.55
K 0.8618 0.8618 0.9335  5 S 3.19-3.33, 2 Ag 3.55
Hf 0.0000 0.0000 0.5000  6 S 2.61-2.64
Ag 0.3219 0.3219 0.5274  4 S 2.50-2.78
Ag 0.6781 0.6781 0.4726  4 S 2.50-2.78
S 0.1849 0.1849 0.6932  3 Ag 2.58-2.78, 1 Hf 2.61
S 0.4970 0.4970 0.7276  1 Ag 2.50, 2 Hf 2.64
S 0.5030 0.5030 0.2724  1 Ag 2.50, 2 Hf 2.64
S 0.8151 0.8151 0.3068  3 Ag 2.58-2.78, 1 Hf 2.61

---

Entry 7:
The following is a DFT calculation (PBE) of crystalline Th2NiPt at its relaxed geometry.

Values from the calculation:
- formation enthalpy at 0 K (meV/atom) = -643
- crystal system = trigonal
- N(E_F) (states/eV/cell) = 3.64
- space group = No. 160

Unit cell a=7.4365 b=7.4365 c=7.4365 alpha=31.69 beta=31.69 gamma=31.69
With the nearest neighbours (Å) after each atom.
Element x y z (fractional)
Th 0.0000 0.0000 0.0000  3 Pt 2.94, 3 Ni 2.95
Th 0.1660 0.1660 0.1660  3 Ni 2.91, 3 Pt 2.94
Ni 0.4178 0.4178 0.4178  6 Th 2.91-2.95
Pt 0.5830 0.5830 0.5830  6 Th 2.94

---

Entry 8:
The following is a DFT calculation (PBE) of crystalline BeRe2Ru at its relaxed geometry.

Values from the calculation:
- formation enthalpy at 0 K (meV/atom) = 69
- crystal system = cubic
- N(E_F) (states/eV/cell) = 2.12
- space group = No. 216

Unit cell a=4.2486 b=4.2486 c=4.2486 alpha=60.00 beta=60.00 gamma=60.00
With the nearest neighbours (Å) after each atom.
Element x y z (fractional)
Be 0.0000 0.0000 0.0000  4 Ru 2.60, 4 Re 2.60
Re 0.2500 0.2500 0.2500  4 Re 2.60, 4 Be 2.60
Re 0.5000 0.5000 0.5000  4 Ru 2.60, 4 Re 2.60
Ru 0.7500 0.7500 0.7500  4 Re 2.60, 4 Be 2.60

---

Entry 9:
The following is a DFT calculation (PBE) of crystalline ZnSiSe at its relaxed geometry.

Values from the calculation:
- raw formation energy (meV/atom) = 300
- crystal system = tetragonal
- N(E_F) (states/eV/cell) = 1.20
- space group = No. 107

Unit cell a=5.6298 b=5.6298 c=5.6298 alpha=146.26 beta=146.26 gamma=48.47
With the nearest neighbours (Å) after each atom.
Element x y z (fractional)
Zn 0.0000 0.0000 0.0000  4 Si 2.87, 5 Se 3.01-3.14
Si 0.3345 0.3345 0.0000  4 Se 2.66, 4 Zn 2.87
Se 0.7071 0.7071 0.0000  4 Si 2.66

---

Entry 10:
The following is a DFT calculation (PBE) of crystalline PrGe2Au3 at its relaxed geometry.

Values from the calculation:
- formation enthalpy at 0 K (meV/atom) = -460
- crystal system = monoclinic
- N(E_F) (states/eV/cell) = 5.00
- space group = No. 12

Unit cell a=8.7947 b=8.7947 c=10.2158 alpha=104.10 beta=104.10 gamma=29.61
With the nearest neighbours (Å) after each atom.
Element x y z (fractional)
Pr 0.0000 0.0000 0.0000  6 Ge 3.20-3.30, 6 Au 3.34-3.40
Pr 0.1694 0.1694 0.7034  6 Au 3.12-3.44, 4 Ge 3.25-3.47
Pr 0.8306 0.8306 0.2966  6 Au 3.12-3.44, 4 Ge 3.25-3.47
Ge 0.1940 0.1940 0.1030  6 Au 2.56-2.81
Ge 0.3453 0.3453 0.5315  5 Au 2.64-2.75
Ge 0.4739 0.4739 0.2224  5 Au 2.52-2.76
Ge 0.5261 0.5261 0.7776  5 Au 2.52-2.76
Ge 0.6547 0.6547 0.4685  5 Au 2.64-2.75
Ge 0.8060 0.8060 0.8970  6 Au 2.56-2.81
Au 0.0191 0.0191 0.3393  2 Ge 2.57, 2 Au 2.85
Au 0.1962 0.1962 0.3670  4 Ge 2.64-2.69, 3 Au 2.95-2.96
Au 0.3354 0.3354 0.0584  4 Ge 2.52-2.76, 1 Au 2.82
Au 0.3779 0.3779 0.8092  4 Ge 2.62-2.81, 1 Au 2.82
Au 0.5000 0.5000 0.5000  4 Ge 2.73-2.76, 4 Au 2.85
Au 0.6221 0.6221 0.1908  4 Ge 2.62-2.81, 1 Au 2.82
Au 0.6646 0.6646 0.9416  4 Ge 2.52-2.76, 1 Au 2.82
Au 0.8038 0.8038 0.6330  4 Ge 2.64-2.69, 3 Au 2.95-2.96
Au 0.9809 0.9809 0.6607  2 Ge 2.57, 2 Au 2.85

---

Entry 11:
The following is a DFT calculation (PBE) of crystalline CsMgTl2Br8 at its relaxed geometry.

Values from the calculation:
- raw formation energy (meV/atom) = -919
- crystal system = trigonal
- N(E_F) (states/eV/cell) = 8.55
- space group = No. 147

Unit cell a=7.1842 b=7.1842 c=10.0067 alpha=90.00 beta=90.00 gamma=120.00
With the nearest neighbours (Å) after each atom.
Element x y z (fractional)
Cs 0.0000 0.0000 0.0000  12 Br 4.04-4.15
Mg 0.0000 0.0000 0.5000  6 Br 2.70
Tl 0.3333 0.6667 0.7241  4 Br 2.69-2.78
Tl 0.6667 0.3333 0.2759  4 Br 2.69-2.78
Br 0.0366 0.7168 0.3404  1 Mg 2.70, 1 Tl 2.78
Br 0.2832 0.3198 0.3404  1 Mg 2.70, 1 Tl 2.78
Br 0.3198 0.0366 0.6596  1 Mg 2.70, 1 Tl 2.78
Br 0.3333 0.6667 0.9925  1 Tl 2.69
Br 0.6667 0.3333 0.0075  1 Tl 2.69
Br 0.6802 0.9634 0.3404  1 Mg 2.70, 1 Tl 2.78
Br 0.7168 0.6802 0.6596  1 Mg 2.70, 1 Tl 2.78
Br 0.9634 0.2832 0.6596  1 Mg 2.70, 1 Tl 2.78

---

Entry 12:
The following is a DFT calculation (PBE) of crystalline Li2ZnI4 at its relaxed geometry.

Values from the calculation:
- raw formation energy (meV/atom) = -944
- crystal system = tetragonal
- N(E_F) (states/eV/cell) = 0.00
- space group = No. 121

Unit cell a=7.5969 b=7.5969 c=7.5969 alpha=128.66 beta=128.66 gamma=75.57
With the nearest neighbours (Å) after each atom.
Element x y z (fractional)
Li 0.2500 0.7500 0.5000  4 I 2.79
Li 0.7500 0.2500 0.5000  4 I 2.79
Zn 0.0000 0.0000 0.0000  4 I 2.65
I 0.1161 0.6407 0.0000  1 Zn 2.65, 2 Li 2.79
I 0.3593 0.3593 0.4754  1 Zn 2.65, 2 Li 2.79
I 0.6407 0.1161 0.0000  1 Zn 2.65, 2 Li 2.79
I 0.8839 0.8839 0.5246  1 Zn 2.65, 2 Li 2.79

---

no.,uncorrected energy (eV/atom)
1,-8.12
2,-2.18
3,-5.19
4,-6.04
5,-2.77
6,-4.80
7,-7.31
8,-9.41
9,-3.09
10,-4.43
11,-2.63
12,-2.56